# 1
Material: Ba6PdPtAu
Method: DFT, GGA-PBE
State: optimized geometry

Results
Magnetic moment ... 0.00 Bohr magnetons per cell
Formation energy from the elements ... -0.531 eV per atom

a b c (Å): 7.9981 7.9981 15.1255
angles (deg): 90.00 90.00 120.00
Closest atoms and distances in Å follow each position.
Fractional positions:
Ba 0.0035 0.3416 0.1318  1 Pt 3.17, 1 Pd 3.21, 1 Au 3.37
Ba 0.0035 0.6619 0.3682  1 Pt 3.17, 1 Pd 3.21, 1 Au 3.37
Ba 0.3381 0.3416 0.3682  1 Pt 3.17, 1 Pd 3.21, 1 Au 3.37
Ba 0.3381 0.9965 0.1318  1 Pt 3.17, 1 Pd 3.21, 1 Au 3.37
Ba 0.3416 0.0035 0.6318  1 Pt 3.17, 1 Pd 3.21, 1 Au 3.37
Ba 0.3416 0.3381 0.8682  1 Pt 3.17, 1 Pd 3.21, 1 Au 3.37
Ba 0.6584 0.6619 0.1318  1 Pt 3.17, 1 Pd 3.21, 1 Au 3.37
Ba 0.6584 0.9965 0.3682  1 Pt 3.17, 1 Pd 3.21, 1 Au 3.37
Ba 0.6619 0.0035 0.8682  1 Pt 3.17, 1 Pd 3.21, 1 Au 3.37
Ba 0.6619 0.6584 0.6318  1 Pt 3.17, 1 Pd 3.21, 1 Au 3.37
Ba 0.9965 0.3381 0.6318  1 Pt 3.17, 1 Pd 3.21, 1 Au 3.37
Ba 0.9965 0.6584 0.8682  1 Pt 3.17, 1 Pd 3.21, 1 Au 3.37
Pd 0.3333 0.6667 0.7500  6 Ba 3.21
Pd 0.6667 0.3333 0.2500  6 Ba 3.21
Pt 0.3333 0.6667 0.2500  6 Ba 3.17
Pt 0.6667 0.3333 0.7500  6 Ba 3.17
Au 0.0000 0.0000 0.0000  6 Ba 3.37
Au 0.0000 0.0000 0.5000  6 Ba 3.37



# 2
Material: Ba2Pd3PtAu12
Method: DFT, GGA-PBE
State: optimized geometry

Results
Magnetic moment ... 0.00 Bohr magnetons per cell
Formation energy from the elements ... 0.025 eV per atom

a b c (Å): 8.7992 8.7992 8.7992
angles (deg): 61.58 61.58 61.58
Closest atoms and distances in Å follow each position.
Fractional positions:
Ba 0.1186 0.1186 0.1186  9 Au 3.33-3.63
Ba 0.8814 0.8814 0.8814  9 Au 3.33-3.63
Pd 0.0000 0.5000 0.5000  6 Au 2.69-2.71
Pd 0.5000 0.0000 0.5000  6 Au 2.69-2.71
Pd 0.5000 0.5000 0.0000  6 Au 2.69-2.71
Pt 0.5000 0.5000 0.5000  6 Au 2.58
Au 0.1474 0.6170 0.6170  1 Pt 2.58, 1 Pd 2.71, 2 Au 2.75
Au 0.1544 0.1544 0.4941  2 Pd 2.69, 2 Au 2.75
Au 0.1544 0.4941 0.1544  2 Pd 2.69, 2 Au 2.75
Au 0.3830 0.3830 0.8526  1 Pt 2.58, 1 Pd 2.71, 2 Au 2.75
Au 0.3830 0.8526 0.3830  1 Pt 2.58, 1 Pd 2.71, 2 Au 2.75
Au 0.4941 0.1544 0.1544  2 Pd 2.69, 2 Au 2.75
Au 0.5059 0.8456 0.8456  2 Pd 2.69, 2 Au 2.75
Au 0.6170 0.1474 0.6170  1 Pt 2.58, 1 Pd 2.71, 2 Au 2.75
Au 0.6170 0.6170 0.1474  1 Pt 2.58, 1 Pd 2.71, 2 Au 2.75
Au 0.8456 0.5059 0.8456  2 Pd 2.69, 2 Au 2.75
Au 0.8456 0.8456 0.5059  2 Pd 2.69, 2 Au 2.75
Au 0.8526 0.3830 0.3830  1 Pt 2.58, 1 Pd 2.71, 2 Au 2.75



# 3
Material: Ba8PdPtAu2
Method: DFT, GGA-PBE
State: optimized geometry

Results
Magnetic moment ... 0.00 Bohr magnetons per cell
Formation energy from the elements ... -0.533 eV per atom

a b c (Å): 7.6022 9.5599 7.8206
angles (deg): 90.00 90.24 90.00
Closest atoms and distances in Å follow each position.
Fractional positions:
Ba 0.2198 0.2470 0.3297  1 Pt 3.19, 1 Pd 3.23, 1 Au 3.35
Ba 0.2198 0.7530 0.3297  1 Pt 3.19, 1 Pd 3.23, 1 Au 3.35
Ba 0.2640 0.0000 0.8162  1 Pt 3.18, 2 Au 3.31
Ba 0.2662 0.5000 0.8197  1 Pd 3.21, 2 Au 3.30
Ba 0.7338 0.5000 0.1803  1 Pd 3.21, 2 Au 3.30
Ba 0.7360 0.0000 0.1838  1 Pt 3.18, 2 Au 3.31
Ba 0.7802 0.2470 0.6703  1 Pt 3.19, 1 Pd 3.23, 1 Au 3.35
Ba 0.7802 0.7530 0.6703  1 Pt 3.19, 1 Pd 3.23, 1 Au 3.35
Pd 0.0000 0.5000 0.5000  6 Ba 3.21-3.23
Pt 0.0000 0.0000 0.5000  6 Ba 3.18-3.19
Au 0.5000 0.2492 0.0000  6 Ba 3.30-3.35
Au 0.5000 0.7508 0.0000  6 Ba 3.30-3.35



# 4
Material: Ba6Pd2PtAu
Method: DFT, GGA-PBE
State: optimized geometry

Results
Magnetic moment ... 0.00 Bohr magnetons per cell
Formation energy from the elements ... -0.538 eV per atom

a b c (Å): 7.9986 8.0047 8.8584
angles (deg): 90.03 116.83 119.97
Closest atoms and distances in Å follow each position.
Fractional positions:
Ba 0.0000 0.0000 0.0000  1 Pt 3.19, 2 Pd 3.24-3.25, 1 Au 3.34
Ba 0.9997 0.1828 0.5120  1 Pt 3.18, 2 Pd 3.24-3.25, 1 Au 3.35
Ba 0.3403 0.6654 0.9995  1 Pt 3.19, 2 Pd 3.24-3.25, 1 Au 3.34
Ba 0.3711 0.8533 0.5116  1 Pt 3.18, 2 Pd 3.24-3.25, 1 Au 3.35
Ba 0.6704 0.4818 0.5120  1 Pt 3.18, 2 Pd 3.24-3.25, 1 Au 3.34
Ba 0.6745 0.3402 0.9993  1 Pt 3.19, 2 Pd 3.24-3.25, 1 Au 3.34
Pd 0.4983 0.0817 0.2388  6 Ba 3.25
Pd 0.5064 0.5860 0.7512  6 Ba 3.24
Pt 0.8511 0.2579 0.7683  6 Ba 3.18-3.19
Au 0.8524 0.7587 0.2708  6 Ba 3.34-3.35



# 5
Material: Ba8PdPt2Au
Method: DFT, GGA-PBE
State: optimized geometry

Results
Magnetic moment ... 0.00 Bohr magnetons per cell
Formation energy from the elements ... -0.562 eV per atom

a b c (Å): 7.5350 9.4608 7.7469
angles (deg): 90.00 90.40 90.00
Closest atoms and distances in Å follow each position.
Fractional positions:
Ba 0.2179 0.0000 0.3324  2 Pt 3.18, 1 Au 3.35
Ba 0.2249 0.5000 0.3252  2 Pt 3.20, 1 Pd 3.27
Ba 0.2677 0.2561 0.8188  1 Pt 3.18, 1 Pd 3.21, 1 Au 3.30
Ba 0.2677 0.7439 0.8188  1 Pt 3.18, 1 Pd 3.21, 1 Au 3.30
Ba 0.7323 0.2561 0.1812  1 Pt 3.18, 1 Pd 3.21, 1 Au 3.30
Ba 0.7323 0.7439 0.1812  1 Pt 3.18, 1 Pd 3.21, 1 Au 3.30
Ba 0.7751 0.5000 0.6748  2 Pt 3.20, 1 Pd 3.27
Ba 0.7821 0.0000 0.6676  2 Pt 3.18, 1 Au 3.35
Pd 0.5000 0.5000 0.0000  6 Ba 3.21-3.27
Pt 0.0000 0.2520 0.5000  6 Ba 3.18-3.20
Pt 0.0000 0.7480 0.5000  6 Ba 3.18-3.20
Au 0.5000 0.0000 0.0000  6 Ba 3.30-3.35



# 6
Material: Ba8Pd2PtAu
Method: DFT, GGA-PBE
State: optimized geometry

Results
Magnetic moment ... 0.00 Bohr magnetons per cell
Formation energy from the elements ... -0.507 eV per atom

a b c (Å): 7.5523 9.4899 7.7585
angles (deg): 90.00 90.11 90.00
Closest atoms and distances in Å follow each position.
Fractional positions:
Ba 0.2194 0.0000 0.3291  2 Pd 3.20, 1 Au 3.32
Ba 0.2296 0.5000 0.3192  1 Pt 3.21, 2 Pd 3.24
Ba 0.2720 0.2590 0.8222  1 Pt 3.18, 1 Pd 3.23, 1 Au 3.30
Ba 0.2720 0.7410 0.8222  1 Pt 3.18, 1 Pd 3.23, 1 Au 3.30
Ba 0.7280 0.2590 0.1778  1 Pt 3.18, 1 Pd 3.23, 1 Au 3.30
Ba 0.7280 0.7410 0.1778  1 Pt 3.18, 1 Pd 3.23, 1 Au 3.30
Ba 0.7704 0.5000 0.6808  1 Pt 3.21, 2 Pd 3.24
Ba 0.7806 0.0000 0.6709  2 Pd 3.20, 1 Au 3.32
Pd 0.0000 0.2529 0.5000  6 Ba 3.20-3.24
Pd 0.0000 0.7471 0.5000  6 Ba 3.20-3.24
Pt 0.5000 0.5000 0.0000  6 Ba 3.18-3.21
Au 0.5000 0.0000 0.0000  6 Ba 3.30-3.32



# 7
Material: RbBaPd2Au
Method: DFT, GGA-PBE
State: optimized geometry

Results
Magnetic moment ... 0.00 Bohr magnetons per cell
Formation energy from the elements ... 0.122 eV per atom

a b c (Å): 5.3871 5.3871 5.7093
angles (deg): 90.00 90.00 90.00
Closest atoms and distances in Å follow each position.
Fractional positions:
Rb 0.0000 0.0000 0.0000  4 Ba 3.81, 8 Pd 3.92
Ba 0.5000 0.5000 0.0000  2 Au 2.85
Pd 0.0000 0.5000 0.5000  2 Au 2.69
Pd 0.5000 0.0000 0.5000  2 Au 2.69
Au 0.5000 0.5000 0.5000  4 Pd 2.69, 2 Ba 2.85



# 8
Material: Ba6PdRh2Au
Method: DFT, GGA-PBE
State: optimized geometry

Results
Magnetic moment ... 0.00 Bohr magnetons per cell
Formation energy from the elements ... -0.306 eV per atom

a b c (Å): 8.6530 8.6530 8.6530
angles (deg): 54.70 54.70 54.70
Closest atoms and distances in Å follow each position.
Fractional positions:
Ba 0.0196 0.3164 0.6640  2 Rh 3.13-3.16, 1 Pd 3.22, 1 Au 3.33
Ba 0.1572 0.8026 0.5336  2 Rh 3.12-3.17, 1 Pd 3.20, 1 Au 3.32
Ba 0.3164 0.6640 0.0196  2 Rh 3.13-3.16, 1 Pd 3.22, 1 Au 3.33
Ba 0.5336 0.1572 0.8026  2 Rh 3.12-3.17, 1 Pd 3.20, 1 Au 3.32
Ba 0.6640 0.0196 0.3164  2 Rh 3.13-3.16, 1 Pd 3.22, 1 Au 3.33
Ba 0.8026 0.5336 0.1572  2 Rh 3.12-3.17, 1 Pd 3.20, 1 Au 3.32
Pd 0.7393 0.7393 0.7393  6 Ba 3.20-3.22
Rh 0.4175 0.4175 0.4175  6 Ba 3.12-3.16
Rh 0.9203 0.9203 0.9203  6 Ba 3.13-3.17
Au 0.2371 0.2371 0.2371  6 Ba 3.32-3.33



# 9
Material: Ba8Pd2RhAu
Method: DFT, GGA-PBE
State: optimized geometry

Results
Magnetic moment ... 0.00 Bohr magnetons per cell
Formation energy from the elements ... -0.397 eV per atom

a b c (Å): 7.5326 9.4289 7.6937
angles (deg): 90.00 90.08 90.00
Closest atoms and distances in Å follow each position.
Fractional positions:
Ba 0.2206 0.0000 0.3327  2 Pd 3.19, 1 Au 3.32
Ba 0.2375 0.5000 0.3187  1 Rh 3.15, 2 Pd 3.24
Ba 0.2719 0.2632 0.8266  1 Rh 3.12, 1 Pd 3.24, 1 Au 3.30
Ba 0.2719 0.7368 0.8266  1 Rh 3.12, 1 Pd 3.24, 1 Au 3.30
Ba 0.7281 0.2632 0.1734  1 Rh 3.12, 1 Pd 3.24, 1 Au 3.30
Ba 0.7281 0.7368 0.1734  1 Rh 3.12, 1 Pd 3.24, 1 Au 3.30
Ba 0.7625 0.5000 0.6813  1 Rh 3.15, 2 Pd 3.24
Ba 0.7794 0.0000 0.6673  2 Pd 3.19, 1 Au 3.32
Pd 0.0000 0.2545 0.5000  6 Ba 3.19-3.24
Pd 0.0000 0.7455 0.5000  6 Ba 3.19-3.24
Rh 0.5000 0.5000 0.0000  6 Ba 3.12-3.15
Au 0.5000 0.0000 0.0000  6 Ba 3.30-3.32



# 10
Material: BaPd2RhAu
Method: DFT, GGA-PBE
State: optimized geometry

Results
Magnetic moment ... 1.74 Bohr magnetons per cell
Formation energy from the elements ... 1.522 eV per atom

a b c (Å): 5.3113 5.3113 5.8059
angles (deg): 90.00 90.00 90.00
Closest atoms and distances in Å follow each position.
Fractional positions:
Ba 0.0000 0.0000 0.0000  4 Pd 2.66, 2 Au 2.90
Pd 0.0000 0.5000 0.0000  2 Ba 2.66
Pd 0.5000 0.0000 0.0000  2 Ba 2.66
Rh 0.5000 0.5000 0.5000  4 Au 3.76, 8 Pd 3.93
Au 0.0000 0.0000 0.5000  2 Ba 2.90



# 11
Material: BaSbPd3Au
Method: DFT, GGA-PBE
State: optimized geometry

Results
Magnetic moment ... 0.00 Bohr magnetons per cell
E_form (uncorrected) ... -8.7 kcal/mol of atoms

a b c (Å): 8.7670 8.7670 6.0740
angles (deg): 90.00 90.00 137.33
Closest atoms and distances in Å follow each position.
Fractional positions:
Ba 0.2162 0.7838 0.7500  4 Pd 3.19-3.21, 2 Au 3.43
Ba 0.7838 0.2162 0.2500  4 Pd 3.19-3.21, 2 Au 3.43
Sb 0.4347 0.5653 0.2500  5 Pd 2.54-2.60
Sb 0.5653 0.4347 0.7500  5 Pd 2.54-2.60
Pd 0.2137 0.2137 0.0000  2 Sb 2.60, 1 Pd 2.73, 2 Au 2.82
Pd 0.2137 0.2137 0.5000  2 Sb 2.60, 1 Pd 2.73, 2 Au 2.82
Pd 0.2792 0.7208 0.2500  1 Sb 2.54, 1 Au 2.62
Pd 0.7208 0.2792 0.7500  1 Sb 2.54, 1 Au 2.62
Pd 0.7863 0.7863 0.0000  2 Sb 2.60, 1 Pd 2.73, 2 Au 2.82
Pd 0.7863 0.7863 0.5000  2 Sb 2.60, 1 Pd 2.73, 2 Au 2.82
Au 0.1188 0.8812 0.2500  5 Pd 2.62-2.82
Au 0.8812 0.1188 0.7500  5 Pd 2.62-2.82



# 12
Material: Ba2SbPd3Au12
Method: DFT, GGA-PBE
State: optimized geometry

Results
Magnetic moment ... 0.00 Bohr magnetons per cell
E_form (uncorrected) ... -0.1 kcal/mol of atoms

a b c (Å): 8.8845 8.8845 8.8845
angles (deg): 61.43 61.43 61.43
Closest atoms and distances in Å follow each position.
Fractional positions:
Ba 0.1191 0.1191 0.1191  9 Au 3.39-3.67
Ba 0.8809 0.8809 0.8809  9 Au 3.39-3.67
Sb 0.5000 0.5000 0.5000  6 Au 2.62
Pd 0.0000 0.5000 0.5000  6 Au 2.69-2.71
Pd 0.5000 0.0000 0.5000  6 Au 2.69-2.71
Pd 0.5000 0.5000 0.0000  6 Au 2.69-2.71
Au 0.1457 0.6141 0.6141  1 Sb 2.62, 1 Pd 2.69, 2 Au 2.75
Au 0.1564 0.1564 0.4916  2 Pd 2.71, 2 Au 2.75
Au 0.1564 0.4916 0.1564  2 Pd 2.71, 2 Au 2.75
Au 0.3859 0.3859 0.8543  1 Sb 2.62, 1 Pd 2.69, 2 Au 2.75
Au 0.3859 0.8543 0.3859  1 Sb 2.62, 1 Pd 2.69, 2 Au 2.75
Au 0.4916 0.1564 0.1564  2 Pd 2.71, 2 Au 2.75
Au 0.5084 0.8436 0.8436  2 Pd 2.71, 2 Au 2.75
Au 0.6141 0.1457 0.6141  1 Sb 2.62, 1 Pd 2.69, 2 Au 2.75
Au 0.6141 0.6141 0.1457  1 Sb 2.62, 1 Pd 2.69, 2 Au 2.75
Au 0.8436 0.5084 0.8436  2 Pd 2.71, 2 Au 2.75
Au 0.8436 0.8436 0.5084  2 Pd 2.71, 2 Au 2.75
Au 0.8543 0.3859 0.3859  1 Sb 2.62, 1 Pd 2.69, 2 Au 2.75



> What is the magnetic moment in the twelfth record?

0.00 Bohr magnetons per cell